This record from Alexandria describes KTb2Cl6 after structural relaxation. The functional is PBE-GGA.

Uncorrected formation energy: -2.0880 eV per atom
ρ: 3193 kg/m3

Lattice parameters (Å, degrees): 6.8503 6.8503 7.2903 90.00 90.00 120.00
Atoms (fractional coordinates):
K 0.0000 0.0000 0.0000
Tb 0.3333 0.6667 0.5000
Tb 0.6667 0.3333 0.5000
Cl 0.0000 0.3559 0.7154
Cl 0.0000 0.6441 0.2846
Cl 0.3559 0.0000 0.7154
Cl 0.3559 0.3559 0.2846
Cl 0.6441 0.0000 0.2846
Cl 0.6441 0.6441 0.7154



This record from Alexandria describes InPd2Au7 after structural relaxation. The functional is PBE-GGA.

ΔH_f (0 K): 0.19 eV/atom
ρ: 12361 kg/m3

Lattice parameters (Å, degrees): 7.7894 7.7894 4.4861 90.00 90.00 122.63
Atoms (fractional coordinates):
In 0.0000 0.0000 0.0000
Pd 0.2975 0.7025 0.5000
Pd 0.7025 0.2975 0.5000
Au 0.0790 0.2943 0.5000
Au 0.1980 0.8020 0.0000
Au 0.2943 0.0790 0.5000
Au 0.5000 0.5000 0.5000
Au 0.7057 0.9210 0.5000
Au 0.8020 0.1980 0.0000
Au 0.9210 0.7057 0.5000



This record from Alexandria describes NbMoRu after structural relaxation. The functional is PBE-GGA.

ΔH_f (0 K): -0.07 eV/atom
ρ: 10035 kg/m3
Offset from the most stable computed form: 27 meV per atom

Lattice parameters (Å, degrees): 4.5077 4.5077 5.4526 90.00 90.00 120.00
Atoms (fractional coordinates):
Nb 0.3333 0.6667 0.3352
Nb 0.6667 0.3333 0.6648
Mo 0.0000 0.0000 0.0000
Mo 0.0000 0.0000 0.5000
Ru 0.3333 0.6667 0.8423
Ru 0.6667 0.3333 0.1577